Entry 1:
This record from Alexandria via LeMat-Bulk describes a geometry-optimized Hg2OsRh structure. The functional is PBE.

Structure (extended XYZ):
```
4
Lattice="1.4180 -2.5069 0.0000 1.4180 2.5069 0.0000 0.0000 0.0000 10.2351" Properties=species:S:1:pos:R:3 pbc="T T T"
Hg 0.0000 0.0000 0.0000
Hg 1.4180 0.0000 2.9739
Os 0.0000 0.0000 5.5601
Rh 1.4180 0.0000 7.7225
```


Entry 2:
This record from Alexandria via LeMat-Bulk describes a geometry-optimized RbTl2SnF8 structure. The functional is PBE.

Values from the calculation:
**Formation energy without anion corrections**: -2249 meV per atom

Structure (extended XYZ):
```
12
Lattice="5.2167 0.0000 0.0000 0.0000 7.8659 0.0000 -0.1038 0.0000 5.9313" Properties=species:S:1:pos:R:3 pbc="T T T"
Rb 0.0000 0.0000 0.0000
Tl 2.5564 1.9975 2.9657
Tl 2.5564 5.8684 2.9657
Sn 0.0000 3.9329 0.0000
F 0.6233 2.4798 4.7368
F 0.6233 5.3861 4.7368
F 1.6317 3.9329 1.1698
F 2.1620 0.0000 1.6923
F 2.9509 0.0000 4.2390
F 3.4812 3.9329 4.7615
F 4.4895 2.4798 1.1946
F 4.4895 5.3861 1.1946
```


Entry 3:
This record from Alexandria via LeMat-Bulk describes a geometry-optimized TcP2Ru structure. The functional is PBE.

Structure (extended XYZ):
```
4
Lattice="4.1690 -1.4940 0.0000 4.1690 1.4940 0.0000 -1.0346 0.0000 4.2440" Properties=species:S:1:pos:R:3 pbc="T T T"
Tc 0.0000 0.0000 0.0000
P 3.6598 0.0000 1.9217
P 6.0085 0.0000 0.4497
Ru 1.3495 0.0000 2.4593
```


Entry 4:
This record from Alexandria via LeMat-Bulk describes a geometry-optimized VAs2Pd structure. The functional is PBE.

Structure (extended XYZ):
```
4
Lattice="0.0000 3.1481 3.1481 3.1481 0.0000 3.1481 3.1481 3.1481 0.0000" Properties=species:S:1:pos:R:3 pbc="T T T"
V 0.0000 0.0000 0.0000
As 1.5740 1.5740 1.5740
As 4.7221 4.7221 4.7221
Pd 3.1481 3.1481 3.1481
```


In order of appearance, final energy = -0.3103; -0.3164; -0.5876; -0.4398 Ry/atom.
In order of appearance, DOS at the Fermi energy = 4.41; 4.35; 1.89; 2.73 states/eV/f.u..
In order of appearance, magnetic moment = 0.1; 0.0; 0.0; 0.0 μB/f.u..